# SrMoN2

A relaxed SrMoN2 crystal (PBE-GGA, Alexandria via LeMat-Bulk).

a = 4.120 Å, b = 4.120 Å, c = 4.120 Å
α = 60.00°, β = 60.00°, γ = 60.00°
Fractional coordinates of all 4 atoms:
Sr  0.000  0.000  0.000
Mo  0.500  0.500  0.500
N  0.250  0.250  0.250
N  0.750  0.750  0.750

E_form (uncorrected), eV per atom: 0.713
Density of states at the Fermi level, states/eV/f.u.: 4.16
Space-group type: No. 225

=====

# Sr2TaMoN5

A relaxed Sr2TaMoN5 crystal (PBE-GGA, Alexandria via LeMat-Bulk).

a = 3.340 Å, b = 7.639 Å, c = 11.074 Å
α = 90.00°, β = 90.00°, γ = 102.63°
Fractional coordinates of all 18 atoms:
Sr  0.860  0.721  0.823
Sr  0.110  0.221  0.668
Sr  0.140  0.279  0.323
Sr  0.890  0.779  0.168
Ta  0.784  0.568  0.537
Ta  0.216  0.432  0.037
Mo  0.556  0.111  0.936
Mo  0.444  0.889  0.436
N  0.339  0.677  0.004
N  0.678  0.356  0.895
N  0.499  0.997  0.795
N  0.291  0.582  0.645
N  0.964  0.928  0.521
N  0.661  0.323  0.504
N  0.322  0.644  0.395
N  0.501  0.003  0.295
N  0.709  0.418  0.145
N  0.036  0.072  0.021

E_form (uncorrected), eV per atom: -0.859
Density of states at the Fermi level, states/eV/f.u.: 0.00
Space-group type: No. 36

=====

# SrTb2MoN4

A relaxed SrTb2MoN4 crystal (PBE-GGA, Alexandria via LeMat-Bulk).

a = 3.464 Å, b = 6.333 Å, c = 12.151 Å
α = 90.00°, β = 90.00°, γ = 105.87°
Each line ends with the local moment (μB).
Fractional coordinates of all 16 atoms:
Sr  0.082  0.164  0.750  0.04
Sr  0.918  0.836  0.250  0.04
Tb  0.371  0.743  0.539  0.03
Tb  0.629  0.257  0.039  0.03
Tb  0.629  0.257  0.461  0.03
Tb  0.371  0.743  0.961  0.03
Mo  0.821  0.642  0.750  0.41
Mo  0.179  0.358  0.250  0.41
N  0.260  0.521  0.117  0.01
N  0.740  0.479  0.617  0.01
N  0.740  0.479  0.883  0.01
N  0.260  0.521  0.383  0.01
N  0.000  0.000  0.500  0.01
N  0.000  0.000  0.000  0.01
N  0.412  0.825  0.750  0.00
N  0.588  0.175  0.250  0.00

E_form (uncorrected), eV per atom: -1.061
Density of states at the Fermi level, states/eV/f.u.: 4.00
Space-group type: No. 63

=====

# SrTeMoN2

A relaxed SrTeMoN2 crystal (PBE-GGA, Alexandria via LeMat-Bulk).

a = 4.163 Å, b = 4.163 Å, c = 5.574 Å
α = 90.00°, β = 90.00°, γ = 90.00°
Fractional coordinates of all 5 atoms:
Sr  0.500  0.500  0.500
Mo  0.000  0.000  0.000
Te  0.000  0.000  0.500
N  0.000  0.500  0.000
N  0.500  0.000  0.000

E_form (uncorrected), eV per atom: -0.003
Distance to the lowest polymorph of the same formula, eV per atom: 0.000
Density of states at the Fermi level, states/eV/f.u.: 1.09
Space-group type: No. 123